A) # Al2S2Br

A relaxed Al2S2Br crystal (PBE, the Alexandria database).

Properties
size of the total moment	1.4	Bohr magnetons per cell
N(E_F)	0.337	states/eV per atom

Geometry as extended XYZ:
```
10
Lattice="-6.137 0.187 -4.628 3.547 -4.751 -4.896 -0.544 -1.448 7.049" Properties=species:S:1:pos:R:3 pbc="T T T"
Al -0.813 -4.037 0.915
Al -2.445 -1.166 -0.640
Al -4.897 -1.091 -2.489
Al -2.231 -2.138 2.872
S -0.887 -4.701 -5.401
S -2.876 -2.950 0.779
S -0.075 -3.035 2.891
S -2.815 -2.118 -2.740
Br -0.186 -0.378 0.232
Br 0.668 -4.619 -1.072
```

B) # Al2S2Br

A relaxed Al2S2Br crystal (PBE, the Alexandria database).

Properties
size of the total moment	0.0	Bohr magnetons per cell
N(E_F)	0.313	states/eV per atom

Geometry as extended XYZ:
```
5
Lattice="3.465 0.000 -0.910 -0.239 3.457 -0.910 0.267 0.286 8.073" Properties=species:S:1:pos:R:3 pbc="T T T"
Al 2.872 3.077 3.885
Al 0.622 0.666 2.369
S 2.265 2.427 1.574
S 1.228 1.316 4.680
Br 0.000 0.000 0.000
```

Stability check: which of them is most stable? B).

A) # AlSbTe2Br

A relaxed AlSbTe2Br crystal (PBE, the Alexandria database).

Properties
size of the total moment	1.5	Bohr magnetons per cell
N(E_F)	1.265	states/eV per atom

Geometry as extended XYZ:
```
5
Lattice="5.747 0.000 0.000 0.000 5.747 0.000 0.000 0.000 5.538" Properties=species:S:1:pos:R:3 pbc="T T T"
Sb 0.000 0.000 2.769
Te 0.000 2.874 0.000
Te 2.874 0.000 0.000
Al 2.874 2.874 2.769
Br 0.000 0.000 0.000
```

B) # AlSbTe2Br

A relaxed AlSbTe2Br crystal (PBE, the Alexandria database).

Properties
size of the total moment	0.0	Bohr magnetons per cell
N(E_F)	0.844	states/eV per atom

Geometry as extended XYZ:
```
5
Lattice="-1.722 3.826 3.205 -3.540 1.455 -3.638 -3.667 -3.475 2.179" Properties=species:S:1:pos:R:3 pbc="T T T"
Sb -1.834 -1.738 1.090
Te -1.770 0.727 -1.819
Te -0.861 1.913 1.603
Al 0.000 0.000 0.000
Br -4.464 0.903 0.873
```

Stability check: which of them is most stable? B).